# Ac8Ir4S3

An optimized crystal structure of Ac8Ir4S3 (PBE-GGA, Alexandria).

a = 8.6895 Å, b = 8.7074 Å, c = 8.7074 Å
α = 90.38°, β = 119.64°, γ = 119.64°
Positions (direct):
Ac 0.4823 0.2337 0.2337
Ac 0.0000 0.7592 0.2408
Ac 0.9929 0.2394 0.2394
Ac 0.5000 0.7558 0.2442
Ac 0.5000 0.2442 0.7558
Ac 0.0071 0.7606 0.7606
Ac 0.0000 0.2408 0.7592
Ac 0.5177 0.7663 0.7663
Ir 0.5000 0.0000 0.0000
Ir 0.0000 0.5000 0.0000
Ir 0.0000 0.0000 0.0000
Ir 0.0000 0.0000 0.5000
S 0.5000 0.5000 0.0000
S 0.5000 0.0000 0.5000
S 0.5000 0.5000 0.5000

Calculated values
- N(E_F): 7.67 states/eV per cell
- Formation energy from raw total energies: -1.146 eV/atom
- SG: C2/m